{
  "formula": "YTl2Cd",
  "functional": "PBE-GGA",
  "state": "optimized geometry",
  "lattice_angstrom": [[7.543, 0.000, 0.000], [0.000, 7.543, 0.000], [0.000, 0.000, 7.543]],
  "species": ["Y", "Y", "Y", "Y", "Tl", "Tl", "Tl", "Tl", "Tl", "Tl", "Tl", "Tl", "Cd", "Cd", "Cd", "Cd"],
  "frac_coords": [[0.000, 0.000, 0.000], [0.000, 0.500, 0.500], [0.500, 0.000, 0.500], [0.500, 0.500, 0.000], [0.000, 0.000, 0.500], [0.000, 0.500, 0.000], [0.250, 0.250, 0.750], [0.250, 0.750, 0.250], [0.500, 0.000, 0.000], [0.500, 0.500, 0.500], [0.750, 0.250, 0.250], [0.750, 0.750, 0.750], [0.250, 0.250, 0.250], [0.250, 0.750, 0.750], [0.750, 0.250, 0.750], [0.750, 0.750, 0.250]],
  "total_energy_ev_per_cell": -49.77,
  "vol_a3_per_atom": 26.8
}


{
  "formula": "YTlCd",
  "functional": "PBE-GGA",
  "state": "optimized geometry",
  "lattice_angstrom": [[6.992, 0.000, 0.000], [0.000, 6.992, 0.000], [0.000, 0.000, 6.992]],
  "species": ["Y", "Y", "Y", "Y", "Tl", "Tl", "Tl", "Tl", "Cd", "Cd", "Cd", "Cd"],
  "frac_coords": [[0.000, 0.000, 0.000], [0.000, 0.500, 0.500], [0.500, 0.000, 0.500], [0.500, 0.500, 0.000], [0.250, 0.250, 0.750], [0.250, 0.750, 0.250], [0.750, 0.250, 0.250], [0.750, 0.750, 0.750], [0.000, 0.000, 0.500], [0.000, 0.500, 0.000], [0.500, 0.000, 0.000], [0.500, 0.500, 0.500]],
  "total_energy_ev_per_cell": -41.42,
  "vol_a3_per_atom": 28.5
}


{
  "formula": "Tl2ZnCd",
  "functional": "PBE-GGA",
  "state": "optimized geometry",
  "lattice_angstrom": [[7.446, 0.000, 0.000], [0.000, 7.446, 0.000], [0.000, 0.000, 7.446]],
  "species": ["Tl", "Tl", "Tl", "Tl", "Tl", "Tl", "Tl", "Tl", "Zn", "Zn", "Zn", "Zn", "Cd", "Cd", "Cd", "Cd"],
  "frac_coords": [[0.000, 0.000, 0.000], [0.000, 0.500, 0.500], [0.250, 0.250, 0.250], [0.250, 0.750, 0.750], [0.500, 0.000, 0.500], [0.500, 0.500, 0.000], [0.750, 0.250, 0.750], [0.750, 0.750, 0.250], [0.250, 0.250, 0.750], [0.250, 0.750, 0.250], [0.750, 0.250, 0.250], [0.750, 0.750, 0.750], [0.000, 0.000, 0.500], [0.000, 0.500, 0.000], [0.500, 0.000, 0.000], [0.500, 0.500, 0.500]],
  "total_energy_ev_per_cell": -24.93,
  "vol_a3_per_atom": 25.8
}


{
  "formula": "ZrTl2Cd",
  "functional": "PBE-GGA",
  "state": "optimized geometry",
  "lattice_angstrom": [[7.377, 0.000, 0.000], [0.000, 7.377, 0.000], [0.000, 0.000, 7.377]],
  "species": ["Zr", "Zr", "Zr", "Zr", "Tl", "Tl", "Tl", "Tl", "Tl", "Tl", "Tl", "Tl", "Cd", "Cd", "Cd", "Cd"],
  "frac_coords": [[0.000, 0.000, 0.000], [0.000, 0.500, 0.500], [0.500, 0.000, 0.500], [0.500, 0.500, 0.000], [0.000, 0.000, 0.500], [0.000, 0.500, 0.000], [0.250, 0.250, 0.750], [0.250, 0.750, 0.250], [0.500, 0.000, 0.000], [0.500, 0.500, 0.500], [0.750, 0.250, 0.250], [0.750, 0.750, 0.750], [0.250, 0.250, 0.250], [0.250, 0.750, 0.750], [0.750, 0.250, 0.750], [0.750, 0.750, 0.250]],
  "total_energy_ev_per_cell": -51.49,
  "vol_a3_per_atom": 25.1
}


{
  "formula": "ZrTlCd",
  "functional": "PBE-GGA",
  "state": "optimized geometry",
  "lattice_angstrom": [[4.591, 0.000, 0.000], [0.000, 4.257, 0.000], [0.000, 0.000, 13.869]],
  "species": ["Zr", "Zr", "Zr", "Zr", "Tl", "Tl", "Tl", "Tl", "Cd", "Cd", "Cd", "Cd"],
  "frac_coords": [[0.000, 0.000, 0.000], [0.000, 0.000, 0.325], [0.000, 0.500, 0.500], [0.000, 0.500, 0.825], [0.000, 0.000, 0.665], [0.000, 0.500, 0.165], [0.500, 0.000, 0.484], [0.500, 0.500, 0.984], [0.500, 0.000, 0.162], [0.500, 0.000, 0.829], [0.500, 0.500, 0.329], [0.500, 0.500, 0.662]],
  "total_energy_ev_per_cell": -48.35,
  "vol_a3_per_atom": 22.6
}


{
  "formula": "Zr3Tl2Cd2",
  "functional": "PBE-GGA",
  "state": "optimized geometry",
  "lattice_angstrom": [[2.504, 1.445, 7.697], [-2.504, 1.445, 7.697], [0.000, -2.891, 7.697]],
  "species": ["Zr", "Zr", "Zr", "Tl", "Tl", "Cd", "Cd"],
  "frac_coords": [[0.000, 0.000, 0.000], [0.271, 0.271, 0.271], [0.545, 0.545, 0.545], [0.135, 0.135, 0.135], [0.674, 0.674, 0.674], [0.408, 0.408, 0.408], [0.868, 0.868, 0.868]],
  "total_energy_ev_per_cell": -31.58,
  "vol_a3_per_atom": 23.9
}


{
  "formula": "Zr6TlCd",
  "functional": "PBE-GGA",
  "state": "optimized geometry",
  "lattice_angstrom": [[5.638, 0.000, 0.000], [0.000, 5.638, 0.000], [0.000, 0.000, 5.638]],
  "species": ["Zr", "Zr", "Zr", "Zr", "Zr", "Zr", "Tl", "Cd"],
  "frac_coords": [[0.000, 0.249, 0.500], [0.000, 0.751, 0.500], [0.249, 0.500, 0.000], [0.500, 0.000, 0.249], [0.500, 0.000, 0.751], [0.751, 0.500, 0.000], [0.500, 0.500, 0.500], [0.000, 0.000, 0.000]],
  "total_energy_ev_per_cell": -55.45,
  "vol_a3_per_atom": 22.4
}


{
  "formula": "TmCd2",
  "functional": "PBE-GGA",
  "state": "optimized geometry",
  "lattice_angstrom": [[0.000, 4.119, 4.119], [4.119, 0.000, 4.119], [4.119, 4.119, 0.000]],
  "species": ["Tm", "Tm", "Cd", "Cd", "Cd", "Cd"],
  "frac_coords": [[0.125, 0.125, 0.125], [0.875, 0.875, 0.875], [0.000, 0.500, 0.500], [0.500, 0.000, 0.500], [0.500, 0.500, 0.000], [0.500, 0.500, 0.500]],
  "formation_energy_kj_per_mol_atoms": -22.2,
  "vol_a3_per_atom": 23.3
}


{
  "formula": "TmCd2",
  "functional": "PBE-GGA",
  "state": "optimized geometry",
  "lattice_angstrom": [[4.906, 0.000, 0.000], [-2.453, 4.248, 0.000], [0.000, 0.000, 3.359]],
  "species": ["Tm", "Cd", "Cd"],
  "frac_coords": [[0.000, 0.000, 0.000], [0.333, 0.667, 0.500], [0.667, 0.333, 0.500]],
  "formation_energy_kj_per_mol_atoms": -28.6,
  "vol_a3_per_atom": 23.3
}


{
  "formula": "YTmCd6",
  "functional": "PBE-GGA",
  "state": "optimized geometry",
  "lattice_angstrom": [[6.557, 0.000, 0.000], [-3.279, 5.679, 0.000], [0.000, 0.000, 4.959]],
  "species": ["Y", "Tm", "Cd", "Cd", "Cd", "Cd", "Cd", "Cd"],
  "frac_coords": [[0.000, 0.000, 0.000], [0.333, 0.667, 0.500], [0.343, 0.172, 0.500], [0.503, 0.006, 0.000], [0.503, 0.497, 0.000], [0.828, 0.172, 0.500], [0.828, 0.657, 0.500], [0.994, 0.497, 0.000]],
  "polymorph_energy_ev_per_atom": 0.0004,
  "formation_energy_kj_per_mol_atoms": -27.4,
  "vol_a3_per_atom": 23.1
}


{
  "formula": "YTmCd6",
  "functional": "PBE-GGA",
  "state": "optimized geometry",
  "lattice_angstrom": [[5.038, 0.000, 0.000], [0.000, 5.038, 0.000], [0.000, 0.000, 7.149]],
  "species": ["Y", "Tm", "Cd", "Cd", "Cd", "Cd", "Cd", "Cd"],
  "frac_coords": [[0.000, 0.000, 0.000], [0.500, 0.500, 0.500], [0.000, 0.000, 0.500], [0.000, 0.500, 0.253], [0.000, 0.500, 0.747], [0.500, 0.000, 0.253], [0.500, 0.000, 0.747], [0.500, 0.500, 0.000]],
  "polymorph_energy_ev_per_atom": 0.0180,
  "formation_energy_kj_per_mol_atoms": -25.7,
  "vol_a3_per_atom": 22.7
}


{
  "formula": "YTmCd6",
  "functional": "PBE-GGA",
  "state": "optimized geometry",
  "lattice_angstrom": [[5.038, 0.000, 0.000], [0.000, 7.149, 0.000], [0.000, 0.000, 5.039]],
  "species": ["Y", "Tm", "Cd", "Cd", "Cd", "Cd", "Cd", "Cd"],
  "frac_coords": [[0.000, 0.000, 0.000], [0.500, 0.500, 0.493], [0.000, 0.253, 0.501], [0.000, 0.500, 0.000], [0.000, 0.747, 0.501], [0.500, 0.000, 0.494], [0.500, 0.253, 0.992], [0.500, 0.747, 0.992]],
  "polymorph_energy_ev_per_atom": 0.0180,
  "formation_energy_kj_per_mol_atoms": -25.7,
  "vol_a3_per_atom": 22.7
}